Density functional theory data (GGA-PBE) for a geometry-optimized MgTc2Ir structure.

a = 5.026 Å, b = 5.026 Å, c = 4.957 Å
α = 67.34°, β = 67.34°, γ = 32.30°
Sites, in units of the cell vectors:
1 Ir 0.491 0.491 0.397
2 Mg 0.232 0.232 0.349
3 Tc 0.998 0.998 0.931
4 Tc 0.779 0.779 0.823

Computed properties:
The formation enthalpy at 0 K comes out at 0.00 eV/atom. As for the space-group type: Cm, No. 8. For the total magnetic moment, the calculation gives 0.000 μB/atom. The calculation puts the total energy at -31.2 eV/f.u. The density of states at the Fermi level is 2.37 states/eV per cell.